# 1
PPbAu2: optimized geometry, GGA-PBE.

Calculated values
Space-group type = Imm2 (44)
DFT formation energy = 0.220 eV per atom
Magnetization = 0.00 μB/cell
Energy relative to the lowest polymorph listed for this composition = 0.86 eV/f.u.
N(E_F) = 2.148 states/eV/cell

Cell: 5.288 5.288 5.288 Å, 136.68 116.88 79.65°
Fractional coordinates of all 4 atoms:
Au1 0.026 0.026 0.000
Pb1 0.750 0.250 0.500
Au2 0.272 0.772 0.500
P1 0.451 0.451 0.000

***

# 2
SiHg5: optimized geometry, GGA-PBE.

Calculated values
Space-group type = P6/mmm (191)
Formation energy from raw total energies = 0.50 eV/atom
Magnetization = 0.00 μB/cell
Energy relative to the lowest polymorph listed for this composition = 2.02 eV/f.u.
N(E_F) = 3.901 states/eV/cell

Cell: 5.719 5.719 5.663 Å, 90.00 90.00 120.00°
Fractional coordinates of all 6 atoms:
Hg1 0.000 0.500 0.500
Hg2 0.500 0.500 0.500
Hg3 0.500 0.000 0.500
Hg4 0.667 0.333 0.000
Si1 0.000 0.000 0.000
Hg5 0.333 0.667 0.000

***

# 3
Zn2CdTe: optimized geometry, GGA-PBE.

Calculated values
Space-group type = Immm (71)
Formation energy from raw total energies = 0.13 eV/atom
Magnetization = 0.00 μB/cell
Energy relative to the lowest polymorph listed for this composition = 0.46 eV/f.u.
N(E_F) = 1.611 states/eV/cell

Cell: 5.366 5.366 5.366 Å, 136.35 117.41 79.40°
Fractional coordinates of all 4 atoms:
Zn1 0.997 0.997 0.000
Cd1 0.750 0.250 0.500
Te1 0.250 0.750 0.500
Zn2 0.503 0.503 0.000

***

# 4
CeMgCoHg: optimized geometry, GGA-PBE.

Calculated values
Space-group type = F-43m (216)
DFT formation energy = -0.037 eV per atom
Magnetization = 0.30 μB/cell
N(E_F) = 5.551 states/eV/cell

Cell: 4.914 4.914 4.914 Å, 60.00 60.00 60.00°
Last column: magnetic moment on the atom in μB.
Fractional coordinates of all 4 atoms:
Mg1 0.000 0.000 0.000  0.00
Ce1 0.500 0.500 0.500  -0.58
Co1 0.750 0.750 0.750  1.03
Hg1 0.250 0.250 0.250  -0.01